The following is a PBE-GGA calculation of crystalline HfZr8Sc6 at its relaxed geometry, from the Alexandria database.

Cell and atoms, written as CIF:
```
data_HfZr8Sc6
_chemical_formula_sum 'Hf1 Zr8 Sc6'
_cell_length_a 8.5202
_cell_length_b 8.5202
_cell_length_c 5.6863
_cell_angle_alpha 90.00
_cell_angle_beta 90.00
_cell_angle_gamma 120.00
_space_group_name_H-M_alt 'P -3'
_space_group_IT_number 147
loop_
_space_group_symop_operation_xyz
'x,y,z'
'-x,-y,-z'
'-y,x-y,z'
'y,-x+y,-z'
'-x+y,-x,z'
'x-y,x,-z'
loop_
_atom_site_label
_atom_site_fract_x
_atom_site_fract_y
_atom_site_fract_z
_atom_site_occupancy
Hf1 0.0000 0.0000 0.0000 1
Zr1 0.0536 0.7727 0.6854 1
Zr2 0.3333 0.6667 0.6586 1
Sc1 0.0955 0.6435 0.1864 1
```

E_form = 0.170 eV/atom
Volume = 357.5 Å³ per cell
Magnetization = 0.000 μB per atom